VASP calculation (PBE with a Hubbard U) on a geometry-optimized PuCdMoO6 structure.

Computed properties:
uncorrected energy = -7.7266 eV per atom
space-group type = P4_2nm
magnetic moment = 4.00 μB per formula unit

Structure (POSCAR):
```
PuCdMoO6
1.0
4.921 0.000 0.000
0.000 4.921 0.000
0.000 0.000 10.174
Pu Cd Mo O
2 2 2 12
Cartesian
0.000 0.000 0.000
2.460 2.460 5.087
0.000 0.000 6.811
2.460 2.460 1.724
0.000 0.000 3.330
2.460 2.460 8.417
0.897 0.897 1.828
1.021 1.021 4.969
1.111 1.111 8.619
1.350 3.571 3.531
1.439 3.482 10.056
1.563 3.358 6.915
3.358 1.563 6.915
3.482 1.439 10.056
3.571 1.350 3.531
3.810 3.810 8.619
3.900 3.900 4.969
4.024 4.024 1.828
```